Compound: ScSbSe2
Source: the Alexandria database
Functional: SCAN
Structure: single point on PBEsol structure

Cell lengths 8.875, 8.875, 8.875 Å; angles 25.30, 25.30, 25.30 degrees
Positions (direct):
1 Sc 0.000 0.000 0.000
2 Sb 0.500 0.500 0.500
3 Se 0.100 0.100 0.100
4 Se 0.900 0.900 0.900

Symmetry: R-3m (166)
E in eV/atom: -23.15
Uncorrected formation energy in meV per atom: -234
N(E_F) in states/eV/f.u.: 1.73

---

Compound: AgS2Br
Source: the Alexandria database
Functional: SCAN
Structure: single point on PBEsol structure

Cell lengths 4.655, 4.655, 4.655 Å; angles 60.00, 60.00, 60.00 degrees
Positions (direct):
1 Ag 0.000 0.000 0.000
2 S 0.250 0.250 0.250
3 S 0.750 0.750 0.750
4 Br 0.500 0.500 0.500

Symmetry: Fm-3m (225)
E in eV/atom: -16.59
Relative energy among the computed polymorphs in eV per atom: 0.7392
Uncorrected formation energy in meV per atom: 929
N(E_F) in states/eV/f.u.: 3.47

---

Compound: RbRe2N2
Source: the Alexandria database
Functional: SCAN
Structure: single point on PBEsol structure

Cell lengths 6.774, 6.774, 6.774 Å; angles 148.25, 148.25, 45.52 degrees
Positions (direct):
1 Rb 0.000 0.000 0.000
2 Re 0.250 0.750 0.500
3 Re 0.750 0.250 0.500
4 N 0.328 0.328 0.000
5 N 0.672 0.672 0.000

Symmetry: I4/mmm (139)
E in eV/atom: -35.80
Uncorrected formation energy in meV per atom: 505
N(E_F) in states/eV/f.u.: 3.89

---

Compound: Y6N2O5
Source: the Alexandria database
Functional: SCAN
Structure: single point on PBEsol structure

Cell lengths 5.849, 5.849, 7.506 Å; angles 97.85, 97.85, 47.52 degrees
Positions (direct):
1 Y 0.066 0.066 0.217
2 Y 0.209 0.209 0.639
3 Y 0.355 0.355 0.077
4 Y 0.645 0.645 0.923
5 Y 0.791 0.791 0.361
6 Y 0.934 0.934 0.783
7 N 0.143 0.143 0.925
8 N 0.857 0.857 0.075
9 O 0.000 0.000 0.500
10 O 0.272 0.272 0.355
11 O 0.421 0.421 0.798
12 O 0.579 0.579 0.202
13 O 0.728 0.728 0.645

Symmetry: C2/m (12)
E in eV/atom: -19.72
Uncorrected formation energy in meV per atom: -3047
N(E_F) in states/eV/f.u.: 2.60

---

Compound: In2FeHg
Source: the Alexandria database
Functional: SCAN
Structure: single point on PBEsol structure

Cell lengths 5.384, 5.384, 5.384 Å; angles 135.05, 135.05, 65.45 degrees
Positions (direct):
1 In 0.000 0.000 0.000
2 In 0.750 0.250 0.500
3 Fe 0.500 0.500 0.000
4 Hg 0.250 0.750 0.500

Symmetry: I-4m2 (119)
E in eV/atom: -37.94
Energy of formation in eV/atom: 0.328
N(E_F) in states/eV/f.u.: 1.83

---

Compound: NaHBr2
Source: the Alexandria database
Functional: SCAN
Structure: single point on PBEsol structure

Cell lengths 8.121, 8.121, 8.121 Å; angles 26.49, 26.49, 26.49 degrees
Positions (direct):
1 Na 0.000 0.000 0.000
2 H 0.500 0.500 0.500
3 Br 0.111 0.111 0.111
4 Br 0.889 0.889 0.889

Symmetry: R-3m (166)
E in eV/atom: -11.64
Relative energy among the computed polymorphs in eV per atom: 0.9711
N(E_F) in states/eV/f.u.: 0.01

---

Compound: K2AgH2
Source: the Alexandria database
Functional: SCAN
Structure: single point on PBEsol structure

Cell lengths 8.642, 8.642, 8.642 Å; angles 155.19, 155.19, 35.38 degrees
Positions (direct):
1 K 0.144 0.144 0.000
2 K 0.856 0.856 0.000
3 Ag 0.500 0.500 0.000
4 H 0.250 0.750 0.500
5 H 0.750 0.250 0.500

Symmetry: I4/mmm (139)
E in eV/atom: -10.62
Relative energy among the computed polymorphs in eV per atom: 0.4336
N(E_F) in states/eV/f.u.: 1.51

---

Compound: InCu2Te
Source: the Alexandria database
Functional: SCAN
Structure: single point on PBEsol structure

Cell lengths 4.838, 4.838, 4.838 Å; angles 124.42, 124.42, 82.50 degrees
Positions (direct):
1 In 0.000 0.000 0.000
2 Cu 0.250 0.750 0.500
3 Cu 0.750 0.250 0.500
4 Te 0.500 0.500 0.000

Symmetry: I4/mmm (139)
E in eV/atom: -24.92
Relative energy among the computed polymorphs in eV per atom: 0.2606
Uncorrected formation energy in meV per atom: 335
N(E_F) in states/eV/f.u.: 1.81